# Zr2Sc PBE-GGA relaxed
# ρ (kg/m³): 5366
# E_form (eV/atom): -0.02
# E (eV per cell): -187.891
data_Zr2Sc
_chemical_formula_sum 'Zr16 Sc8'
_symmetry_space_group_name_H-M 'P 1'
_symmetry_Int_Tables_number 1
_symmetry_space_group_name_Hall 'P 1'
_cell_length_a 14.1589
_cell_length_b 8.5908
_cell_length_c 5.1358
_cell_angle_alpha 90.00
_cell_angle_beta 90.00
_cell_angle_gamma 64.31
loop_
_atom_site_label
_atom_site_fract_x
_atom_site_fract_y
_atom_site_fract_z
_atom_site_occupancy
Zr1 0.1126 0.7750 0.5000 1
Zr2 0.9449 0.6084 0.5000 1
Zr3 0.6091 0.2789 0.5000 1
Zr4 0.5013 0.5004 0.0000 1
Zr5 0.9164 0.4148 0.0000 1
Zr6 0.5280 0.6945 0.5000 1
Zr7 0.6932 0.8604 0.5000 1
Zr8 0.2494 0.7528 0.0000 1
Zr9 0.7784 0.4462 0.5000 1
Zr10 0.5853 0.0820 0.0000 1
Zr11 0.1668 0.1645 0.0000 1
Zr12 0.0276 0.1969 0.5000 1
Zr13 0.0819 0.5863 0.0000 1
Zr14 0.4160 0.9150 0.0000 1
Zr15 0.6666 0.6663 0.0000 1
Zr16 0.2780 0.9464 0.5000 1
Sc1 0.1915 0.3621 0.5000 1
Sc2 0.8326 0.8284 0.0000 1
Sc3 0.3332 0.3343 0.0000 1
Sc4 0.0029 0.9993 0.0000 1
Sc5 0.4471 0.1068 0.5000 1
Sc6 0.3618 0.5328 0.5000 1
Sc7 0.7474 0.2541 0.0000 1
Sc8 0.8613 0.0268 0.5000 1